1.
Below is Ca2MgHg at its PBEsol-relaxed geometry, with properties calculated at the SCAN level.

total magnetization: 0.0 μB per cell
excess energy over the best structure of this formula in the dataset: 86 meV/atom
formation energy from the elements: -329 meV per atom
electronic total energy: -93.783 eV for the cell shown
symmetry: P4mm, No. 99
density: 4.38 Mg/m³

Lattice parameters (Å, degrees): 3.6885 3.6885 8.4918 90.00 90.00 90.00
Last column: nearest neighbours and their distance in Å.
Element x y z (fractional)
1 Hg 0.0000 0.0000 0.5285  4 Mg 3.00, 4 Ca 3.21
2 Mg 0.5000 0.5000 0.7026  4 Hg 3.00, 1 Ca 3.34
3 Ca 0.5000 0.5000 0.3087  4 Hg 3.21, 1 Mg 3.34
4 Ca 0.0000 0.0000 0.9602  4 Mg 3.40, 1 Hg 3.67, 4 Ca 3.69



2.
Below is CsCaY2Sc at its PBEsol-relaxed geometry, with properties calculated at the SCAN level.

total magnetization: 0.0 μB per cell
formation energy from the elements: 1137 meV per atom
electronic total energy: -111.710 eV for the cell shown
symmetry: P4/mmm, No. 123
density: 3.81 Mg/m³

Lattice parameters (Å, degrees): 5.5608 5.5608 5.5796 90.00 90.00 90.00
Last column: nearest neighbours and their distance in Å.
Element x y z (fractional)
1 Cs 0.0000 0.0000 0.0000  4 Y 2.78, 2 Ca 2.79
2 Y 0.5000 0.0000 0.0000  2 Cs 2.78
3 Y 0.0000 0.5000 0.0000  2 Cs 2.78
4 Ca 0.0000 0.0000 0.5000  2 Cs 2.79
5 Sc 0.5000 0.5000 0.5000  4 Ca 3.93, 8 Y 3.94